(1)
The following is a DFT calculation (PBE) of a geometry-optimized NaLa2PrTl4 structure.

Lattice parameters (Å, degrees): 9.7855 9.7855 9.7855 32.70 32.70 32.70
Fractional positions:
Na 0.0000 0.0000 0.0000
La 0.2561 0.2561 0.2561
La 0.7439 0.7439 0.7439
Pr 0.5000 0.5000 0.5000
Tl 0.1250 0.1250 0.1250
Tl 0.3754 0.3754 0.3754
Tl 0.6246 0.6246 0.6246
Tl 0.8750 0.8750 0.8750

E_form ... -0.356 eV per atom
Density ... 8.60 g cm⁻³
SG ... R-3m
Total magnetic moment ... 0.00 μB per formula unit

(2)
The following is a DFT calculation (PBE) of a geometry-optimized NaLaPrZn structure.

Lattice parameters (Å, degrees): 5.4906 5.4906 5.4906 60.00 60.00 60.00
Fractional positions:
Na 0.0000 0.0000 0.0000
La 0.2500 0.2500 0.2500
Pr 0.7500 0.7500 0.7500
Zn 0.5000 0.5000 0.5000

E_form ... 0.044 eV per atom
Density ... 5.22 g cm⁻³
SG ... F-43m
Total magnetic moment ... 0.00 μB per formula unit

(3)
The following is a DFT calculation (PBE) of a geometry-optimized NaLa2Pt structure.

Lattice parameters (Å, degrees): 7.0142 7.0142 7.0142 104.06 104.06 120.93
Fractional positions:
Na 0.0000 0.0000 0.0000
Na 0.7500 0.2500 0.5000
La 0.1847 0.6250 0.0597
La 0.3750 0.4347 0.5597
La 0.5653 0.1250 0.9403
La 0.8750 0.8153 0.4403
Pt 0.2500 0.7500 0.5000
Pt 0.5000 0.5000 0.0000

E_form ... -0.287 eV per atom
Density ... 6.39 g cm⁻³
SG ... I-42d
Total magnetic moment ... 0.00 μB per formula unit

| no. | calculated volume (Å³ per atom) |
| --- | --- |
| 1 | 30.4 |
| 2 | 29.3 |
| 3 | 32.2 |